RbAg3PdS4 after structural relaxation. Source: OQMD, functional GGA-PBE.

It has space group P-43m (No. 215), with a = 6.2743 Å, b = 6.2743 Å, c = 6.2743 Å, α = 90.00°, β = 90.00° and γ = 90.00°. The asymmetric unit holds Rb at (0.0000, 0.0000, 0.0000), Ag at (0.0000, 0.5000, 0.5000), Pd at (0.5000, 0.5000, 0.5000) and S at (0.2838, 0.2838, 0.2838).

The value obtained for the density is 4.3 Mg/m³. The value obtained for the total energy is -3.56 eV/atom.

=====

PrNdAu2 after structural relaxation. Source: OQMD, functional GGA-PBE.

It has space group Amm2 (No. 38), with a = 4.7982 Å, b = 3.8718 Å, c = 11.3225 Å, α = 90.00°, β = 90.00° and γ = 90.00°. The asymmetric unit holds Pr at (0.0000, 0.0000, 0.0000), Nd at (0.5000, 0.0000, 0.2760), Au at (0.0000, 0.0000, 0.7253) and Au at (0.5000, 0.0000, 0.5513).

The value obtained for the density is 10.7 Mg/m³. The value obtained for the total energy is -4.82 eV/atom. The formation energy is -3.207 eV per formula unit.

=====

GdSiAsO after structural relaxation. Source: OQMD, functional GGA-PBE.

It has space group P4/nmm (No. 129, origin choice 2), with a = 5.8102 Å, b = 5.8102 Å, c = 4.6938 Å, α = 90.00°, β = 90.00° and γ = 90.00°. The asymmetric unit holds Gd at (0.2500, 0.7500, 0.0000), Si at (0.2500, 0.2500, 0.4944), As at (0.2500, 0.2500, 0.9944) and O at (0.2500, 0.7500, 0.5000).

The value obtained for the density is 5.8 Mg/m³. The value obtained for the total energy is -5.79 eV/atom.

=====

BiAsOsO after structural relaxation. Source: OQMD, functional GGA-PBE.

It has space group Pmc2_1 (No. 26), with a = 3.7587 Å, b = 7.2587 Å, c = 6.1871 Å, α = 90.00°, β = 90.00° and γ = 90.00°. The asymmetric unit holds Bi at (0.0000, 0.0464, 0.0000), As at (0.5000, 0.3250, 0.8775), Os at (0.5000, 0.3506, 0.4850) and O at (0.0000, 0.3446, 0.4678).

The value obtained for the density is 9.6 Mg/m³. The value obtained for the total energy is -6.22 eV/atom.

=====

TaCoAsPd after structural relaxation. Source: OQMD, functional GGA-PBE.

It has space group F-43m (No. 216), with a = 6.1940 Å, b = 6.1940 Å, c = 6.1940 Å, α = 90.00°, β = 90.00° and γ = 90.00°. The asymmetric unit holds Ta at (0.0000, 0.0000, 0.0000), Co at (0.0000, 0.0000, 0.5000), As at (0.2500, 0.2500, 0.2500) and Pd at (0.2500, 0.2500, 0.7500).

The value obtained for the density is 11.8 Mg/m³. The value obtained for the total energy is -7.25 eV/atom.

=====

MgNi2B2 after structural relaxation. Source: OQMD, functional GGA-PBE.

It has space group I4/mmm (No. 139), with a = 3.4583 Å, b = 3.4583 Å, c = 8.3392 Å, α = 90.00°, β = 90.00° and γ = 90.00°. The asymmetric unit holds Mg at (0.0000, 0.0000, 0.0000), Ni at (0.0000, 0.5000, 0.2500) and B at (0.0000, 0.0000, 0.3944).

The value obtained for the density is 5.4 Mg/m³. The value obtained for the total energy is -5.46 eV/atom.

=====

BeCdSO after structural relaxation. Source: OQMD, functional GGA-PBE.

It has space group P2_12_12_1 (No. 19), with a = 5.9405 Å, b = 6.8458 Å, c = 7.1001 Å, α = 90.00°, β = 90.00° and γ = 90.00°. The asymmetric unit holds Be at (0.1480, 0.1006, 0.4827), Cd at (0.0979, 0.6339, 0.5700), S at (0.1788, 0.6448, 0.9270) and O at (0.2374, 0.9026, 0.4556).

The value obtained for the density is 3.9 Mg/m³. The value obtained for the total energy is -4.60 eV/atom.

=====

Nb2TcPb after structural relaxation. Source: OQMD, functional GGA-PBE.

It has space group F-43m (No. 216), with a = 6.6455 Å, b = 6.6455 Å, c = 6.6455 Å, α = 90.00°, β = 90.00° and γ = 90.00°. The asymmetric unit holds Nb at (0.0000, 0.0000, 0.0000), Nb at (0.2500, 0.2500, 0.2500), Tc at (0.2500, 0.2500, 0.7500) and Pb at (0.0000, 0.0000, 0.5000).

The value obtained for the density is 11.1 Mg/m³. The value obtained for the total energy is -8.25 eV/atom.

=====

Er3Si2Ge2Au4 after structural relaxation. Source: OQMD, functional GGA-PBE.

It has space group Immm (No. 71), with a = 4.2736 Å, b = 6.9699 Å, c = 14.4054 Å, α = 90.00°, β = 90.00° and γ = 90.00°. The asymmetric unit holds Er at (0.0000, 0.0000, 0.0000), Er at (0.0000, 0.5000, 0.1250), Si at (0.0000, 0.0000, 0.2160), Ge at (0.0000, 0.1875, 0.5000) and Au at (0.0000, 0.2974, 0.3279).

The value obtained for the density is 11.5 Mg/m³. The value obtained for the total energy is -4.93 eV/atom.

=====

BeCo2Si after structural relaxation. Source: OQMD, functional GGA-PBE.

It has space group P4/mmm (No. 123), with a = 3.7759 Å, b = 3.7759 Å, c = 2.6942 Å, α = 90.00°, β = 90.00° and γ = 90.00°. The asymmetric unit holds Be at (0.0000, 0.0000, 0.0000), Co at (0.0000, 0.5000, 0.5000) and Si at (0.5000, 0.5000, 0.0000).

The value obtained for the density is 6.7 Mg/m³. The value obtained for the total energy is -6.39 eV/atom.

=====

Y2Zr4Cd3C3 after structural relaxation. Source: OQMD, functional GGA-PBE.

It has space group C2/c (No. 15), with a = 10.2565 Å, b = 5.9300 Å, c = 15.7397 Å, α = 90.00°, β = 102.81° and γ = 90.00°. The asymmetric unit holds Y at (0.0457, 0.0806, 0.3980), Zr at (0.1089, 0.4076, 0.5768), Zr at (0.2287, 0.4206, 0.9232), Cd at (0.0000, 0.4289, 0.7500), Cd at (0.2424, 0.1563, 0.7506), C at (0.0867, 0.2599, 0.0000) and C at (0.2500, 0.2500, 0.5000).

The value obtained for the density is 6.5 Mg/m³. The value obtained for the total energy is -6.97 eV/atom.

=====

RbNb3As5 after structural relaxation. Source: OQMD, functional GGA-PBE.

It has space group P6/mmm (No. 191), with a = 5.6653 Å, b = 5.6653 Å, c = 8.1851 Å, α = 90.00°, β = 90.00° and γ = 120.00°. The asymmetric unit holds Rb at (0.0000, 0.0000, 0.0000), Nb at (0.0000, 0.5000, 0.5000), As at (0.0000, 0.0000, 0.5000) and As at (0.3333, 0.6667, 0.2412).

The value obtained for the density is 5.4 Mg/m³. The value obtained for the total energy is -6.43 eV/atom.

=====

Lu2ScTl after structural relaxation. Source: OQMD, functional GGA-PBE.

It has space group F-43m (No. 216), with a = 7.4039 Å, b = 7.4039 Å, c = 7.4039 Å, α = 90.00°, β = 90.00° and γ = 90.00°. The asymmetric unit holds Lu at (0.0000, 0.0000, 0.0000), Lu at (0.2500, 0.2500, 0.2500), Sc at (0.2500, 0.2500, 0.7500) and Tl at (0.0000, 0.0000, 0.5000).

The value obtained for the density is 9.8 Mg/m³. The value obtained for the total energy is -4.43 eV/atom.

=====

UGe after structural relaxation. Source: OQMD, functional GGA-PBE.

It has space group P-6m2 (No. 187), with a = 2.9550 Å, b = 2.9550 Å, c = 5.0606 Å, α = 90.00°, β = 90.00° and γ = 120.00°. The asymmetric unit holds U at (0.0000, 0.0000, 0.0000) and Ge at (0.3333, 0.6667, 0.5000).

The value obtained for the density is 13.5 Mg/m³. The value obtained for the total energy is -8.09 eV/atom.

=====

NaPmGd after structural relaxation. Source: OQMD, functional GGA-PBE.

It has space group F-43m (No. 216), with a = 7.5885 Å, b = 7.5885 Å, c = 7.5885 Å, α = 90.00°, β = 90.00° and γ = 90.00°. The asymmetric unit holds Na at (0.0000, 0.0000, 0.0000), Pm at (0.2500, 0.2500, 0.2500) and Gd at (0.2500, 0.2500, 0.7500).

The value obtained for the density is 4.9 Mg/m³. The value obtained for the total energy is -2.79 eV/atom.

=====

HoBeSi after structural relaxation. Source: OQMD, functional GGA-PBE.

It has space group R3m (No. 160, hexagonal axes), with a = 4.1989 Å, b = 4.1989 Å, c = 10.1661 Å, α = 90.00°, β = 90.00° and γ = 120.00°. The asymmetric unit holds Ho at (0.0000, 0.0000, 0.0000), Be at (0.0000, 0.0000, 0.7477) and Si at (0.0000, 0.0000, 0.5000).

The value obtained for the density is 6.5 Mg/m³. The value obtained for the total energy is -4.85 eV/atom.

=====

BaCoAgGe2 after structural relaxation. Source: OQMD, functional GGA-PBE.

It has space group I-4m2 (No. 119), with a = 4.4041 Å, b = 4.4041 Å, c = 11.3479 Å, α = 90.00°, β = 90.00° and γ = 90.00°. The asymmetric unit holds Ba at (0.0000, 0.0000, 0.0000), Co at (0.0000, 0.5000, 0.2500), Ag at (0.0000, 0.5000, 0.7500) and Ge at (0.0000, 0.0000, 0.3622).

The value obtained for the density is 6.8 Mg/m³. The value obtained for the total energy is -4.40 eV/atom.

=====

LaNd2S3 after structural relaxation. Source: OQMD, functional GGA-PBE.

It has space group P-3m1 (No. 164), with a = 4.0938 Å, b = 4.0938 Å, c = 10.0313 Å, α = 90.00°, β = 90.00° and γ = 120.00°. The asymmetric unit holds La at (0.0000, 0.0000, 0.0000), Nd at (0.3333, 0.6667, 0.6644), S at (0.0000, 0.0000, 0.5000) and S at (0.3333, 0.6667, 0.1717).

The value obtained for the density is 6.0 Mg/m³. The value obtained for the total energy is -6.55 eV/atom.

=====

Hf4InGaB2 after structural relaxation. Source: OQMD, functional GGA-PBE.

It has space group P-6m2 (No. 187), with a = 3.3962 Å, b = 3.3962 Å, c = 14.7742 Å, α = 90.00°, β = 90.00° and γ = 120.00°. The asymmetric unit holds Hf at (0.0000, 0.0000, 0.1544), Hf at (0.6667, 0.3333, 0.3287), In at (0.0000, 0.0000, 0.5000), Ga at (0.6667, 0.3333, 0.0000) and B at (0.3333, 0.6667, 0.2430).

The value obtained for the density is 10.4 Mg/m³. The value obtained for the total energy is -7.81 eV/atom.

=====

Sm3ZnIn2 after structural relaxation. Source: OQMD, functional GGA-PBE.

It has space group P4/mmm (No. 123), with a = 3.7045 Å, b = 3.7045 Å, c = 11.7207 Å, α = 90.00°, β = 90.00° and γ = 90.00°. The asymmetric unit holds Sm at (0.0000, 0.0000, 0.0000), Sm at (0.0000, 0.0000, 0.3505), Zn at (0.5000, 0.5000, 0.5000) and In at (0.5000, 0.5000, 0.1766).

The value obtained for the density is 7.7 Mg/m³. The value obtained for the total energy is -3.93 eV/atom.